[1]
DFT (GGA-PBEsol) results for a relaxed GdCrO3 crystal.

extended XYZ file:
```
20
Lattice="5.526 0.000 0.000 0.000 7.555 0.000 0.000 0.000 5.268" Properties=species:S:1:pos:R:3 pbc="T T T"
Gd 0.351 1.889 0.088
Gd 2.412 5.666 2.722
Gd 3.114 1.889 2.546
Gd 5.175 5.666 5.180
Cr 0.000 0.000 2.634
Cr 0.000 3.778 2.634
Cr 2.763 0.000 0.000
Cr 2.763 3.778 0.000
O 0.168 5.666 2.113
O 1.110 4.163 4.230
O 1.110 7.170 4.230
O 1.653 0.385 1.596
O 1.653 3.392 1.596
O 2.595 1.889 4.747
O 2.931 5.666 0.521
O 3.873 4.163 3.672
O 3.873 7.170 3.672
O 4.416 0.385 1.038
O 4.416 3.392 1.038
O 5.358 1.889 3.155
```

Size of the total moment ... 10.00 μB per formula unit
Crystal system ... orthorhombic
VASP energy ... -10.86 eV per atom
Energy relative to the elements, uncorrected ... -2.78 eV/atom

=====

[2]
DFT (GGA-PBEsol) results for a relaxed GdCr2Si2 crystal.

extended XYZ file:
```
5
Lattice="-1.905 1.905 5.331 1.905 -1.905 5.331 1.905 1.905 -5.331" Properties=species:S:1:pos:R:3 pbc="T T T"
Gd 0.000 0.000 0.000
Cr 1.905 0.000 2.665
Cr 0.000 1.905 2.665
Si 0.000 0.000 4.097
Si 0.000 0.000 6.565
```

Size of the total moment ... 8.03 μB per formula unit
Crystal system ... tetragonal
VASP energy ... -9.73 eV per atom
Energy relative to the elements, uncorrected ... -0.44 eV/atom

=====

[3]
DFT (GGA-PBEsol) results for a relaxed Cr5Ge3 crystal.

extended XYZ file:
```
16
Lattice="-4.593 4.593 2.318 4.593 -4.593 2.318 4.593 4.593 -2.318" Properties=species:S:1:pos:R:3 pbc="T T T"
Cr 7.027 0.722 0.000
Cr 0.722 2.159 0.000
Cr 4.593 0.000 1.159
Cr 5.315 2.434 0.000
Cr 2.434 3.871 0.000
Cr 2.159 0.722 2.318
Cr -0.722 2.159 2.318
Cr 0.000 4.593 1.159
Cr 3.871 2.434 2.318
Cr -2.434 3.871 2.318
Ge 3.063 1.530 0.000
Ge 0.000 0.000 1.159
Ge 3.063 -1.530 2.318
Ge 1.530 6.123 0.000
Ge 0.000 0.000 3.477
Ge 1.530 3.063 2.318
```

Size of the total moment ... 0.00 μB per formula unit
Crystal system ... tetragonal
VASP energy ... -8.29 eV per atom

=====

[4]
DFT (GGA-PBEsol) results for a relaxed Cr3Ge crystal.

extended XYZ file:
```
8
Lattice="4.521 0.000 0.000 0.000 4.521 0.000 0.000 0.000 4.521" Properties=species:S:1:pos:R:3 pbc="T T T"
Cr 0.000 1.130 2.261
Cr 0.000 3.391 2.261
Cr 1.130 2.261 0.000
Cr 2.261 0.000 1.130
Cr 2.261 0.000 3.391
Cr 3.391 2.261 0.000
Ge 0.000 0.000 0.000
Ge 2.261 2.261 2.261
```

Size of the total moment ... 0.00 μB per formula unit
Crystal system ... cubic
VASP energy ... -9.09 eV per atom

=====

[5]
DFT (GGA-PBEsol) results for a relaxed Cr2GeH2 crystal.

extended XYZ file:
```
5
Lattice="-1.454 1.454 4.849 1.454 -1.454 4.849 1.454 1.454 -4.849" Properties=species:S:1:pos:R:3 pbc="T T T"
Cr 0.000 0.000 1.477
Cr 0.000 0.000 8.221
Ge 0.000 0.000 4.849
H 1.454 0.000 2.425
H 0.000 1.454 2.425
```

Size of the total moment ... 0.00 μB per formula unit
Crystal system ... tetragonal
VASP energy ... -6.41 eV per atom

=====

[6]
DFT (GGA-PBEsol) results for a relaxed CrGe2HRu crystal.

extended XYZ file:
```
5
Lattice="4.635 0.000 0.000 0.000 4.635 0.000 0.000 0.000 3.071" Properties=species:S:1:pos:R:3 pbc="T T T"
Cr 0.000 0.000 0.000
Ge 0.000 2.318 0.000
Ge 2.318 0.000 0.000
H 0.000 0.000 1.535
Ru 2.318 2.318 1.535
```

Size of the total moment ... 2.61 μB per formula unit
Crystal system ... tetragonal
VASP energy ... -6.13 eV per atom

=====

[7]
DFT (GGA-PBEsol) results for a relaxed Hf3CrGe crystal.

extended XYZ file:
```
5
Lattice="4.691 0.000 0.000 0.000 4.691 0.000 0.000 0.000 4.691" Properties=species:S:1:pos:R:3 pbc="T T T"
Hf 0.000 0.000 2.345
Hf 0.000 2.345 0.000
Hf 2.345 0.000 0.000
Cr 0.000 0.000 0.000
Ge 2.345 2.345 2.345
```

Size of the total moment ... 0.00 μB per formula unit
Crystal system ... cubic
VASP energy ... -8.77 eV per atom

=====

[8]
DFT (GGA-PBEsol) results for a relaxed HfCrGe2 crystal.

extended XYZ file:
```
48
Lattice="9.117 0.000 0.000 0.000 9.864 0.000 0.000 0.000 8.085" Properties=species:S:1:pos:R:3 pbc="T T T"
Hf 1.513 1.775 0.000
Hf 1.559 4.456 1.978
Hf 1.559 4.456 6.107
Hf 2.999 9.388 1.978
Hf 2.999 9.388 6.107
Hf 3.046 6.707 0.000
Hf 6.071 3.157 0.000
Hf 6.118 0.476 1.978
Hf 6.118 0.476 6.107
Hf 7.558 5.408 1.978
Hf 7.558 5.408 6.107
Hf 7.604 8.089 0.000
Cr 0.000 0.000 1.974
Cr 0.000 0.000 6.111
Cr 0.724 7.451 2.012
Cr 0.724 7.451 6.073
Cr 3.835 2.518 2.012
Cr 3.835 2.518 6.073
Cr 4.559 4.932 1.974
Cr 4.559 4.932 6.111
Cr 5.282 7.346 2.012
Cr 5.282 7.346 6.073
Cr 8.393 2.414 2.012
Cr 8.393 2.414 6.073
Ge 0.346 6.171 4.042
Ge 0.382 6.130 0.000
Ge 1.142 8.947 4.042
Ge 1.204 8.877 0.000
Ge 1.571 1.786 2.771
Ge 1.571 1.786 5.313
Ge 2.987 6.718 2.771
Ge 2.987 6.718 5.313
Ge 3.354 3.945 0.000
Ge 3.417 4.015 4.042
Ge 4.177 1.198 0.000
Ge 4.213 1.239 4.042
Ge 4.904 8.625 4.042
Ge 4.940 8.667 0.000
Ge 5.701 5.849 4.042
Ge 5.763 5.919 0.000
Ge 6.130 3.147 2.771
Ge 6.130 3.147 5.313
Ge 7.546 8.079 2.771
Ge 7.546 8.079 5.313
Ge 7.913 0.987 0.000
Ge 7.975 0.917 4.042
Ge 8.735 3.735 0.000
Ge 8.772 3.693 4.042
```

Size of the total moment ... 0.00 μB per formula unit
Crystal system ... orthorhombic
VASP energy ... -8.15 eV per atom

=====

[9]
DFT (GGA-PBEsol) results for a relaxed HfNbCr2Ge crystal.

extended XYZ file:
```
5
Lattice="4.413 0.000 0.000 0.000 4.413 0.000 0.000 0.000 4.750" Properties=species:S:1:pos:R:3 pbc="T T T"
Hf 0.000 0.000 0.000
Nb 2.206 2.206 0.000
Cr 0.000 2.206 2.375
Cr 2.206 0.000 2.375
Ge 2.206 2.206 2.375
```

Size of the total moment ... 4.00 μB per formula unit
Crystal system ... tetragonal
VASP energy ... -8.47 eV per atom

=====

[10]
DFT (GGA-PBEsol) results for a relaxed HoCrGeO5 crystal.

extended XYZ file:
```
32
Lattice="7.232 0.000 0.000 0.000 8.365 0.000 0.000 0.000 5.711" Properties=species:S:1:pos:R:3 pbc="T T T"
Ho 1.021 1.455 0.000
Ho 2.595 5.637 0.000
Ho 4.637 2.728 0.000
Ho 6.211 6.910 0.000
Cr 0.000 4.182 1.420
Cr 0.000 4.182 4.291
Cr 3.616 0.000 1.420
Cr 3.616 0.000 4.291
Ge 0.826 7.142 2.856
Ge 2.790 2.960 2.856
Ge 4.442 5.405 2.856
Ge 6.406 1.222 2.856
O 0.000 0.000 1.630
O 0.000 0.000 4.081
O 0.787 5.988 1.414
O 0.787 5.988 4.297
O 1.129 3.529 2.856
O 1.237 3.710 0.000
O 2.378 7.893 0.000
O 2.487 7.712 2.856
O 2.828 1.806 1.414
O 2.828 1.806 4.297
O 3.616 4.182 1.630
O 3.616 4.182 4.081
O 4.403 6.559 1.414
O 4.403 6.559 4.297
O 4.745 0.653 2.856
O 4.853 0.472 0.000
O 5.994 4.654 0.000
O 6.103 4.835 2.856
O 6.444 2.376 1.414
O 6.444 2.376 4.297
```

Size of the total moment ... 3.00 μB per formula unit
Crystal system ... orthorhombic
VASP energy ... -8.25 eV per atom
Energy relative to the elements, uncorrected ... -2.45 eV/atom

=====

[11]
DFT (GGA-PBEsol) results for a relaxed CrGeI2O crystal.

extended XYZ file:
```
5
Lattice="5.547 0.000 0.000 0.000 5.547 0.000 0.000 0.000 3.599" Properties=species:S:1:pos:R:3 pbc="T T T"
Cr 0.000 0.000 0.000
Ge 2.774 2.774 1.800
I 0.000 2.774 0.000
I 2.774 0.000 0.000
O 0.000 0.000 1.800
```

Size of the total moment ... 3.06 μB per formula unit
Crystal system ... tetragonal
VASP energy ... -5.14 eV per atom
Energy relative to the elements, uncorrected ... -0.35 eV/atom

=====

[12]
DFT (GGA-PBEsol) results for a relaxed CrGeIO2 crystal.

extended XYZ file:
```
5
Lattice="3.774 0.000 0.000 0.000 3.774 0.000 0.000 0.000 6.032" Properties=species:S:1:pos:R:3 pbc="T T T"
Cr 0.000 0.000 0.000
Ge 1.887 1.887 3.016
I 1.887 1.887 0.000
O 0.000 1.887 3.016
O 1.887 0.000 3.016
```

Size of the total moment ... 4.71 μB per formula unit
Crystal system ... tetragonal
VASP energy ... -5.70 eV per atom
Energy relative to the elements, uncorrected ... -0.21 eV/atom

=====

[13]
DFT (GGA-PBEsol) results for a relaxed CrGeTe2I crystal.

extended XYZ file:
```
5
Lattice="5.184 0.000 0.000 0.000 5.184 0.000 0.000 0.000 5.261" Properties=species:S:1:pos:R:3 pbc="T T T"
Cr 0.000 0.000 0.000
Ge 2.592 2.592 2.631
Te 0.000 2.592 0.000
Te 2.592 0.000 0.000
I 0.000 0.000 2.631
```

Size of the total moment ... 3.50 μB per formula unit
Crystal system ... tetragonal
VASP energy ... -4.36 eV per atom
Energy relative to the elements, uncorrected ... 0.44 eV/atom

=====

[14]
DFT (GGA-PBEsol) results for a relaxed CrIn2NiGe crystal.

extended XYZ file:
```
5
Lattice="4.963 0.000 0.000 0.000 4.963 0.000 0.000 0.000 4.526" Properties=species:S:1:pos:R:3 pbc="T T T"
Cr 0.000 0.000 0.000
In 0.000 2.481 0.000
In 2.481 0.000 0.000
Ni 2.481 2.481 2.263
Ge 0.000 0.000 2.263
```

Size of the total moment ... 2.62 μB per formula unit
Crystal system ... tetragonal
VASP energy ... -4.57 eV per atom

=====

[15]
DFT (GGA-PBEsol) results for a relaxed Cr2GeIrS crystal.

extended XYZ file:
```
5
Lattice="4.506 0.000 0.000 0.000 4.506 0.000 0.000 0.000 4.488" Properties=species:S:1:pos:R:3 pbc="T T T"
Cr 0.000 2.253 0.000
Cr 2.253 0.000 0.000
Ge 0.000 0.000 0.000
Ir 2.253 2.253 2.244
S 0.000 0.000 2.244
```

Size of the total moment ... 6.33 μB per formula unit
Crystal system ... tetragonal
VASP energy ... -6.33 eV per atom
Energy relative to the elements, uncorrected ... 1.59 eV/atom

=====

[16]
DFT (GGA-PBEsol) results for a relaxed La6CrGe2S14 crystal.

extended XYZ file:
```
23
Lattice="10.216 0.000 0.000 -5.108 8.847 0.000 0.000 0.000 5.748" Properties=species:S:1:pos:R:3 pbc="T T T"
La -2.629 4.966 0.000
La 2.638 0.909 2.905
La 2.122 4.087 0.000
La 0.507 8.642 0.000
La 4.576 6.108 2.905
La 8.109 1.830 2.905
Cr 5.108 2.949 1.529
Ge 0.000 0.000 5.321
Ge 0.000 5.898 2.400
S 0.000 0.000 1.750
S -3.526 7.532 4.457
S 0.348 2.028 4.457
S -0.323 3.863 1.549
S -1.601 7.195 1.549
S 0.000 5.898 4.584
S 3.444 1.599 0.179
S 3.096 3.692 2.868
S 1.924 6.637 1.549
S 5.471 0.835 2.868
S 4.771 5.065 0.179
S 3.177 8.135 4.457
S 7.109 2.183 0.179
S 6.757 4.320 2.868
```

Size of the total moment ... 4.02 μB per formula unit
Crystal system ... trigonal
VASP energy ... -6.57 eV per atom
Energy relative to the elements, uncorrected ... -1.63 eV/atom

=====

[17]
DFT (GGA-PBEsol) results for a relaxed LaTaCr2Ge crystal.

extended XYZ file:
```
5
Lattice="4.493 0.000 0.000 0.000 4.493 0.000 0.000 0.000 5.422" Properties=species:S:1:pos:R:3 pbc="T T T"
La 0.000 0.000 0.000
Ta 2.247 2.247 0.000
Cr 0.000 2.247 2.711
Cr 2.247 0.000 2.711
Ge 0.000 0.000 2.711
```

Size of the total moment ... 3.98 μB per formula unit
Crystal system ... tetragonal
VASP energy ... -7.39 eV per atom

=====

[18]
DFT (GGA-PBEsol) results for a relaxed Li3CrGe crystal.

extended XYZ file:
```
5
Lattice="4.666 0.000 0.000 0.000 4.666 0.000 0.000 0.000 4.666" Properties=species:S:1:pos:R:3 pbc="T T T"
Li 0.000 0.000 2.333
Li 0.000 2.333 0.000
Li 2.333 0.000 0.000
Cr 2.333 2.333 2.333
Ge 0.000 0.000 0.000
```

Size of the total moment ... 4.79 μB per formula unit
Crystal system ... cubic
VASP energy ... -3.68 eV per atom

=====

[19]
DFT (GGA-PBEsol) results for a relaxed LiCrGe2O6 crystal.

extended XYZ file:
```
20
Lattice="5.080 -4.238 0.000 5.080 4.238 0.000 -1.997 0.000 5.108" Properties=species:S:1:pos:R:3 pbc="T T T"
Li 3.582 2.368 3.831
Li 4.580 -2.368 1.277
Cr 4.580 0.717 1.277
Cr 3.582 -0.717 3.831
Ge 0.640 0.813 3.886
Ge 1.638 -0.813 1.333
Ge 6.524 0.813 3.775
Ge 7.522 -0.813 1.221
O 0.548 0.280 2.189
O 3.036 1.813 1.409
O -0.451 -0.280 4.742
O 2.343 0.788 4.388
O 6.124 1.813 1.145
O 3.342 -0.788 1.834
O 4.821 0.788 3.273
O 2.038 -1.813 3.963
O 5.819 -0.788 0.719
O 8.613 0.280 0.365
O 5.126 -1.813 3.698
O 7.614 -0.280 2.919
```

Size of the total moment ... 3.00 μB per formula unit
Crystal system ... monoclinic
VASP energy ... -7.17 eV per atom
E above lowest polymorph ... 8 kJ/mol of formula units
Energy relative to the elements, uncorrected ... -1.81 eV/atom